TbEr4Os2 after structural relaxation. Source: Alexandria, functional PBE.

```
TbEr4Os2
1.0
-3.932 -4.278 -2.275
3.805 -5.634 4.017
-5.773 3.127 4.098
Tb Er Os
2 8 4
Direct
0.250 0.840 0.975 Tb
0.750 0.160 0.025 Tb
0.501 0.419 0.760 Er
0.250 0.252 0.327 Er
0.750 0.748 0.673 Er
0.999 0.419 0.760 Er
0.750 0.019 0.381 Er
0.001 0.581 0.240 Er
0.499 0.581 0.240 Er
0.250 0.981 0.619 Er
0.250 0.257 0.974 Os
0.750 0.743 0.026 Os
0.750 0.376 0.415 Os
0.250 0.624 0.585 Os
```

Properties
Space-group type: P2_1/m, No. 11
E_tot: -46.799 eV/f.u.
V: 25.21 Å³/atom